Arrangement i

# TaMo3W3

A geometry-optimized TaMo3W3 structure (PBE-GGA, the Alexandria database).

```
14
Lattice="3.746 2.163 5.432 -3.746 2.163 5.432 0.000 -4.326 5.432" Properties=species:S:1:pos:R:3 pbc="T T T"
Ta 0.000 0.000 2.661
Ta 0.000 0.000 13.635
Mo -1.190 -2.081 7.231
Mo -2.398 -0.010 9.066
Mo -1.207 2.072 7.231
Mo 1.207 -2.072 9.066
Mo 2.398 0.010 7.231
Mo 1.190 2.081 9.066
W -2.623 -0.051 6.255
W -1.267 -2.296 10.042
W 1.355 -2.246 6.255
W -1.355 2.246 10.042
W 1.267 2.296 6.255
W 2.623 0.051 10.042
```

Properties
Magnetic moment = 0.00 μB per formula unit
Space-group type = No. 148

Arrangement ii

# TaMo3W3

A geometry-optimized TaMo3W3 structure (PBE-GGA, the Alexandria database).

```
14
Lattice="7.419 0.000 0.000 -3.710 6.425 0.000 0.000 0.000 4.926" Properties=species:S:1:pos:R:3 pbc="T T T"
Ta 0.000 4.284 1.232
Ta 3.710 2.142 3.695
Mo -0.519 1.437 1.232
Mo -2.206 6.156 1.232
Mo 0.985 1.168 3.695
Mo 2.725 5.258 1.232
Mo 5.916 0.269 3.695
Mo 4.229 4.988 3.695
W -1.170 3.195 3.695
W -0.358 5.841 3.695
W 2.182 2.610 1.232
W 1.528 3.815 3.695
W 4.068 0.584 1.232
W 4.880 3.231 1.232
```

Properties
Magnetic moment = 0.00 μB per formula unit
Space-group type = No. 176

Most stable = arrangement ii

Arrangement i

# TaMo8W6

A geometry-optimized TaMo8W6 structure (PBE-GGA, the Alexandria database).

```
15
Lattice="3.555 2.053 5.792 -3.555 2.053 5.792 0.000 -4.105 5.792" Properties=species:S:1:pos:R:3 pbc="T T T"
Ta 0.000 0.000 0.000
Mo -2.630 0.480 7.997
Mo -1.731 -2.038 9.378
Mo 0.000 0.000 4.335
Mo 0.899 -2.518 7.997
Mo -0.899 2.518 9.378
Mo 0.000 0.000 13.041
Mo 1.731 2.038 7.997
Mo 2.631 -0.480 9.378
W -0.871 -1.481 6.559
W -0.847 1.495 6.559
W -1.718 0.014 10.816
W 1.718 -0.014 6.559
W 0.847 -1.495 10.816
W 0.871 1.481 10.816
```

Properties
Magnetic moment = 0.00 μB per formula unit
Space-group type = No. 148

Arrangement ii

# TaMo8W6

A geometry-optimized TaMo8W6 structure (PBE-GGA, the Alexandria database).

```
15
Lattice="10.107 0.000 0.000 -5.054 8.753 0.000 0.000 0.000 2.927" Properties=species:S:1:pos:R:3 pbc="T T T"
Ta 0.000 0.000 0.000
Mo -3.180 6.967 1.913
Mo 0.610 2.516 1.913
Mo 2.484 0.729 1.014
Mo 0.000 5.835 1.050
Mo 5.054 2.918 1.877
Mo 2.570 8.024 1.913
Mo 4.443 6.237 1.014
Mo 8.233 1.786 1.014
W -1.349 4.117 2.513
W -0.813 7.862 2.513
W 2.892 3.227 0.414
W 2.162 5.526 2.513
W 5.867 0.891 0.414
W 6.402 4.635 0.414
```

Properties
Magnetic moment = 0.00 μB per formula unit
Space-group type = No. 147

Most stable = arrangement i

Arrangement i

# Ta2Mo4W

A geometry-optimized Ta2Mo4W structure (PBE-GGA, the Alexandria database).

```
7
Lattice="4.556 0.000 0.000 0.000 3.119 0.000 -1.263 0.000 8.583" Properties=species:S:1:pos:R:3 pbc="T T T"
Ta 0.487 0.000 3.046
Ta 2.806 0.000 5.537
Mo 0.507 1.559 5.386
Mo 0.664 0.000 7.431
Mo 2.628 0.000 1.152
Mo 2.785 1.559 3.198
W 0.000 1.559 0.000
```

Properties
Magnetic moment = 0.00 μB per formula unit
Space-group type = No. 10

Arrangement ii

# Ta2Mo4W

A geometry-optimized Ta2Mo4W structure (PBE-GGA, the Alexandria database).

```
7
Lattice="2.728 0.000 0.000 -0.979 7.001 0.000 -0.746 -3.483 6.137" Properties=species:S:1:pos:R:3 pbc="T T T"
Ta 0.108 1.490 1.733
Ta 0.895 2.028 4.404
Mo -0.948 4.022 2.654
Mo 0.052 6.003 0.909
Mo 0.951 -2.484 5.228
Mo 1.951 -0.503 3.483
W -0.489 3.501 0.000
```

Properties
Magnetic moment = 0.00 μB per formula unit
Space-group type = No. 2

Most stable = arrangement ii

Arrangement i

# YTa2Mo

A geometry-optimized YTa2Mo structure (PBE-GGA, the Alexandria database).

```
4
Lattice="-2.393 2.393 3.407 2.393 -2.393 3.407 2.393 2.393 -3.407" Properties=species:S:1:pos:R:3 pbc="T T T"
Y 0.000 0.000 0.000
Ta 0.000 0.000 3.407
Ta 0.000 2.393 1.703
Mo 2.393 0.000 1.703
```

Properties
Magnetic moment = 0.00 μB per formula unit
Space-group type = No. 119

Arrangement ii

# YTa2Mo

A geometry-optimized YTa2Mo structure (PBE-GGA, the Alexandria database).

```
4
Lattice="1.593 0.920 9.243 -1.593 0.920 9.243 0.000 -1.839 9.243" Properties=species:S:1:pos:R:3 pbc="T T T"
Y 0.000 0.000 0.000
Ta 0.000 0.000 6.569
Ta 0.000 0.000 13.616
Mo 0.000 0.000 20.959
```

Properties
Magnetic moment = 0.00 μB per formula unit
Space-group type = No. 160

Most stable = arrangement i

Arrangement i

# Y3TaMo

A geometry-optimized Y3TaMo structure (PBE-GGA, the Alexandria database).

```
5
Lattice="5.227 0.000 0.000 0.000 5.227 0.000 0.000 0.000 5.227" Properties=species:S:1:pos:R:3 pbc="T T T"
Y 0.000 0.000 2.613
Y 0.000 2.613 0.000
Y 2.613 0.000 0.000
Ta 2.613 2.613 2.613
Mo 0.000 0.000 0.000
```

Properties
Magnetic moment = 0.00 μB per formula unit
Space-group type = No. 221

Arrangement ii

# Y3TaMo

A geometry-optimized Y3TaMo structure (PBE-GGA, the Alexandria database).

```
5
Lattice="5.407 0.000 0.000 0.000 5.407 0.000 0.000 0.000 5.407" Properties=species:S:1:pos:R:3 pbc="T T T"
Y 0.000 0.000 2.703
Y 0.000 2.703 0.000
Y 2.703 0.000 0.000
Ta 0.000 0.000 0.000
Mo 2.703 2.703 2.703
```

Properties
Magnetic moment = 3.82 μB per formula unit
Space-group type = No. 221

Most stable = arrangement i

Arrangement i

# TaZnMo3

A geometry-optimized TaZnMo3 structure (PBE-GGA, the Alexandria database).

```
5
Lattice="4.530 0.000 0.000 0.000 4.530 0.000 0.000 0.000 4.530" Properties=species:S:1:pos:R:3 pbc="T T T"
Ta 0.000 0.000 0.000
Zn 2.265 2.265 2.265
Mo 0.000 2.265 2.265
Mo 2.265 0.000 2.265
Mo 2.265 2.265 0.000
```

Properties
Magnetic moment = 0.00 μB per formula unit
Space-group type = No. 221

Arrangement ii

# TaZnMo3

A geometry-optimized TaZnMo3 structure (PBE-GGA, the Alexandria database).

```
5
Lattice="4.770 0.000 0.000 0.000 4.770 0.000 0.000 0.000 4.770" Properties=species:S:1:pos:R:3 pbc="T T T"
Ta 0.000 0.000 0.000
Zn 2.385 2.385 2.385
Mo 0.000 0.000 2.385
Mo 0.000 2.385 0.000
Mo 2.385 0.000 0.000
```

Properties
Magnetic moment = 0.00 μB per formula unit
Space-group type = No. 221

Most stable = arrangement i

Arrangement i

# TaZn3Mo

A geometry-optimized TaZn3Mo structure (PBE-GGA, the Alexandria database).

```
5
Lattice="4.917 0.000 0.000 0.000 4.917 0.000 0.000 0.000 4.917" Properties=species:S:1:pos:R:3 pbc="T T T"
Ta 0.000 0.000 0.000
Zn 0.000 0.000 2.458
Zn 0.000 2.458 0.000
Zn 2.458 0.000 0.000
Mo 2.458 2.458 2.458
```

Properties
Magnetic moment = 2.48 μB per formula unit
Space-group type = No. 221

Arrangement ii

# TaZn3Mo

A geometry-optimized TaZn3Mo structure (PBE-GGA, the Alexandria database).

```
5
Lattice="4.655 0.000 0.000 0.000 4.655 0.000 0.000 0.000 4.655" Properties=species:S:1:pos:R:3 pbc="T T T"
Ta 0.000 0.000 0.000
Zn 0.000 2.328 2.328
Zn 2.328 0.000 2.328
Zn 2.328 2.328 0.000
Mo 2.328 2.328 2.328
```

Properties
Magnetic moment = 0.00 μB per formula unit
Space-group type = No. 221

Most stable = arrangement ii

Arrangement i

# TaZnMo

A geometry-optimized TaZnMo structure (PBE-GGA, the Alexandria database).

```
3
Lattice="-1.341 2.136 4.273 1.341 -2.136 4.273 1.341 2.136 -4.273" Properties=species:S:1:pos:R:3 pbc="T T T"
Ta 0.000 0.000 0.000
Zn 0.000 0.000 5.705
Mo 0.000 0.000 2.815
```

Properties
Magnetic moment = 0.00 μB per formula unit
Space-group type = No. 44

Arrangement ii

# TaZnMo

A geometry-optimized TaZnMo structure (PBE-GGA, the Alexandria database).

```
3
Lattice="0.000 2.141 6.756 1.678 0.000 6.756 1.678 2.141 0.000" Properties=species:S:1:pos:R:3 pbc="T T T"
Ta 0.000 0.000 0.000
Zn 1.678 2.141 9.025
Mo 1.678 2.141 4.433
```

Properties
Magnetic moment = 0.00 μB per formula unit
Space-group type = No. 42

Arrangement iii

# TaZnMo

A geometry-optimized TaZnMo structure (PBE-GGA, the Alexandria database).

```
3
Lattice="-1.685 1.685 4.285 1.685 -1.685 4.285 1.685 1.685 -4.285" Properties=species:S:1:pos:R:3 pbc="T T T"
Ta 0.000 0.000 0.000
Zn 0.000 0.000 5.769
Mo 0.000 0.000 2.904
```

Properties
Magnetic moment = 0.00 μB per formula unit
Space-group type = No. 107

Most stable = arrangement ii

Arrangement i

# TaZnMo

A geometry-optimized TaZnMo structure (PBE-GGA, the Alexandria database).

```
6
Lattice="0.000 4.301 4.443 2.532 0.000 4.443 2.532 4.301 0.000" Properties=species:S:1:pos:R:3 pbc="T T T"
Ta 2.532 1.365 4.443
Ta 2.532 7.237 4.443
Zn 1.266 2.151 2.222
Zn 3.798 6.452 6.665
Mo 2.532 4.301 3.212
Mo 2.532 4.301 5.675
```

Properties
Magnetic moment = 0.00 μB per formula unit
Space-group type = No. 69

Arrangement ii

# TaZnMo

A geometry-optimized TaZnMo structure (PBE-GGA, the Alexandria database).

```
3
Lattice="4.594 0.000 0.000 -2.297 3.978 0.000 0.000 0.000 2.672" Properties=species:S:1:pos:R:3 pbc="T T T"
Ta 0.000 0.000 0.000
Zn 2.297 1.326 1.003
Mo 0.000 2.652 1.815
```

Properties
Magnetic moment = 0.00 μB per formula unit
Space-group type = No. 156

Arrangement iii

# TaZnMo

A geometry-optimized TaZnMo structure (PBE-GGA, the Alexandria database).

```
3
Lattice="-1.362 1.362 6.533 1.362 -1.362 6.533 1.362 1.362 -6.533" Properties=species:S:1:pos:R:3 pbc="T T T"
Ta 0.000 0.000 0.000
Zn 0.000 0.000 4.400
Mo 0.000 0.000 8.885
```

Properties
Magnetic moment = 0.00 μB per formula unit
Space-group type = No. 107

Most stable = arrangement ii

Arrangement i

# Ta3ZnMo

A geometry-optimized Ta3ZnMo structure (PBE-GGA, the Alexandria database).

```
5
Lattice="4.640 0.000 0.000 0.000 4.640 0.000 0.000 0.000 4.640" Properties=species:S:1:pos:R:3 pbc="T T T"
Ta 0.000 0.000 2.320
Ta 0.000 2.320 0.000
Ta 2.320 0.000 0.000
Zn 0.000 0.000 0.000
Mo 2.320 2.320 2.320
```

Properties
Magnetic moment = 0.00 μB per formula unit
Space-group type = No. 221

Arrangement ii

# Ta3ZnMo

A geometry-optimized Ta3ZnMo structure (PBE-GGA, the Alexandria database).

```
5
Lattice="4.824 0.000 0.000 0.000 4.824 0.000 0.000 0.000 4.824" Properties=species:S:1:pos:R:3 pbc="T T T"
Ta 0.000 0.000 2.412
Ta 0.000 2.412 0.000
Ta 2.412 0.000 0.000
Zn 2.412 2.412 2.412
Mo 0.000 0.000 0.000
```

Properties
Magnetic moment = 0.00 μB per formula unit
Space-group type = No. 221

Most stable = arrangement ii

Arrangement i

# ZrTaMo

A geometry-optimized ZrTaMo structure (PBE-GGA, the Alexandria database).

```
3
Lattice="-1.655 1.655 5.145 1.655 -1.655 5.145 1.655 1.655 -5.145" Properties=species:S:1:pos:R:3 pbc="T T T"
Zr 0.000 0.000 0.000
Ta 0.000 0.000 7.114
Mo 0.000 0.000 3.380
```

Properties
Magnetic moment = 0.00 μB per formula unit
Space-group type = No. 107

Arrangement ii

# ZrTaMo

A geometry-optimized ZrTaMo structure (PBE-GGA, the Alexandria database).

```
3
Lattice="0.000 3.186 3.186 3.186 0.000 3.186 3.186 3.186 0.000" Properties=species:S:1:pos:R:3 pbc="T T T"
Zr 0.000 0.000 0.000
Ta 3.186 3.186 3.186
Mo 1.593 1.593 1.593
```

Properties
Magnetic moment = 0.00 μB per formula unit
Space-group type = No. 216

Most stable = arrangement i

Arrangement i

# ZrTaMo

A geometry-optimized ZrTaMo structure (PBE-GGA, the Alexandria database).

```
3
Lattice="0.000 2.469 6.934 1.635 0.000 6.934 1.635 2.469 0.000" Properties=species:S:1:pos:R:3 pbc="T T T"
Zr 0.000 0.000 0.000
Ta 1.635 2.469 4.371
Mo 1.635 2.469 9.239
```

Properties
Magnetic moment = 0.00 μB per formula unit
Space-group type = No. 42

Arrangement ii

# ZrTaMo

A geometry-optimized ZrTaMo structure (PBE-GGA, the Alexandria database).

```
12
Lattice="8.976 0.000 0.000 0.000 2.767 4.666 0.000 -2.767 4.666" Properties=species:S:1:pos:R:3 pbc="T T T"
Zr 1.643 0.000 0.000
Zr 2.763 0.000 6.216
Zr 6.214 0.000 6.216
Zr 7.333 0.000 0.000
Ta 2.195 0.000 3.088
Ta 4.488 -1.408 3.921
Ta 4.488 1.408 3.921
Ta 6.781 0.000 3.088
Mo 0.000 0.000 4.698
Mo 0.000 -1.338 6.975
Mo 0.000 1.338 6.975
Mo 4.488 0.000 1.554
```

Properties
Magnetic moment = 0.00 μB per formula unit
Space-group type = No. 38

Arrangement iii

# ZrTaMo

A geometry-optimized ZrTaMo structure (PBE-GGA, the Alexandria database).

```
3
Lattice="3.177 0.000 0.000 -1.589 2.752 0.000 0.000 0.000 6.611" Properties=species:S:1:pos:R:3 pbc="T T T"
Zr 0.000 0.000 0.000
Ta 0.000 1.834 4.130
Mo 1.589 0.917 2.209
```

Properties
Magnetic moment = 0.00 μB per formula unit
Space-group type = No. 156

Most stable = arrangement ii